[1]
This record from the Open Quantum Materials Database describes a relaxed structure of ErNbPO. The functional is PBE-GGA.

POSCAR file:
```
ErNbPO
1.0
4.175 0.000 0.000
0.000 4.175 0.000
0.000 0.000 7.375
Er Nb O P
2 2 2 2
Direct
0.000 0.000 0.500
0.500 0.500 0.500
0.500 0.000 0.103
0.000 0.500 0.897
0.500 0.500 0.000
0.000 0.000 0.000
0.500 0.000 0.742
0.000 0.500 0.258
```

## Properties
As for the energy relative to the lowest polymorph listed for this composition: 1133 meV per atom. The volume is 129 Å³/cell. As for the symmetry: No. 129.

=====

[2]
This record from the Open Quantum Materials Database describes a relaxed structure of PmAgSO. The functional is PBE-GGA.

POSCAR file:
```
PmAgSO
1.0
9.005 0.000 0.000
0.000 5.646 0.000
0.000 0.000 5.647
S O Ag Pm
4 4 4 4
Direct
0.700 0.499 0.250
0.300 0.999 0.250
0.300 0.501 0.750
0.700 0.001 0.750
0.000 0.250 0.500
0.000 0.750 0.500
0.000 0.750 0.000
0.000 0.250 0.000
0.498 0.250 0.000
0.502 0.750 0.000
0.502 0.750 0.500
0.498 0.250 0.500
0.869 0.500 0.750
0.869 0.000 0.250
0.131 0.500 0.250
0.131 0.000 0.750
```

## Properties
As for the energy relative to the lowest polymorph listed for this composition: 13 meV per atom. The volume is 287 Å³/cell. As for the symmetry: No. 57.

=====

Among the records above, which one has the lowest energy relative to the lowest polymorph listed for this composition?
PmAgSO

=====

energy relative to the lowest polymorph listed for this composition of number 2 (PmAgSO)?
13 meV per atom

=====

Which value of energy relative to the lowest polymorph listed for this composition does entry 1 give?
1133 meV per atom